1.
Sm5Y6Sc: optimized geometry, PBE.

Output
ρ ... 5.73 Mg/m³
Formation enthalpy at 0 K ... 0.0265 eV/atom
Energy above the most stable polymorph in this dataset ... 0 meV per atom
Final energy ... -68.4 eV per formula unit
Crystal system ... monoclinic
Space group ... C2/m, No. 12

Cell and atoms, written as POSCAR:
```
Sm5Y6Sc
1.0
3.092 -5.355 0.000
3.092 5.355 0.000
-2.058 0.000 11.640
Sm Y Sc
5 6 1
Cartesian
0.000 0.000 0.000
2.063 3.573 5.820
3.092 1.783 0.000
3.092 -1.783 0.000
2.063 -3.573 5.820
1.042 1.770 2.943
0.018 0.000 8.701
1.042 -1.770 2.943
3.083 1.770 8.696
4.108 0.000 2.939
3.083 -1.770 8.696
2.063 0.000 5.820
```

***

2.
Y3VRu: optimized geometry, PBE.

Output
ρ ... 4.65 Mg/m³
Formation enthalpy at 0 K ... 0.3467 eV/atom
Energy above the most stable polymorph in this dataset ... 0 meV per atom
Final energy ... -36.1 eV per formula unit
Crystal system ... cubic
Space group ... Pm-3m, No. 221

Cell and atoms, written as POSCAR:
```
Y3VRu
1.0
5.309 0.000 0.000
0.000 5.309 0.000
0.000 0.000 5.309
Y V Ru
3 1 1
Cartesian
0.000 0.000 2.655
0.000 2.655 0.000
2.655 0.000 0.000
2.655 2.655 2.655
0.000 0.000 0.000
```

***

3.
YSc4Fe: optimized geometry, PBE.

Output
ρ ... 3.66 Mg/m³
Formation enthalpy at 0 K ... 0.5239 eV/atom
Final energy ... -37.1 eV per formula unit
Crystal system ... cubic
Space group ... F-43m, No. 216

Cell and atoms, written as POSCAR:
```
YSc4Fe
1.0
0.000 4.192 4.192
4.192 0.000 4.192
4.192 4.192 0.000
Y Sc Fe
1 4 1
Cartesian
0.000 0.000 0.000
3.150 3.150 3.150
5.235 5.235 3.150
5.235 3.150 5.235
3.150 5.235 5.235
6.289 6.289 6.289
```

***

4.
Ac4Ge3I: optimized geometry, PBE.

Output
ρ ... 7.30 Mg/m³
Energy above the most stable polymorph in this dataset ... 0 meV per atom
Final energy ... -38.3 eV per formula unit
Crystal system ... orthorhombic
Space group ... Pmmm, No. 47
Raw formation energy ... -0.814 eV per atom

Cell and atoms, written as POSCAR:
```
Ac4Ge3I
1.0
4.638 0.000 0.000
0.000 6.556 0.000
0.000 0.000 9.366
Ac Ge I
4 3 1
Cartesian
0.000 0.000 0.000
0.000 0.000 4.683
2.319 3.278 2.092
2.319 3.278 7.274
0.000 3.278 0.000
2.319 0.000 2.434
2.319 0.000 6.932
0.000 3.278 4.683
```

***

5.
NdY2Tm6Sc3: optimized geometry, PBE.

Output
ρ ... 6.93 Mg/m³
Formation enthalpy at 0 K ... 0.0482 eV/atom
Final energy ... -62.9 eV per formula unit
Crystal system ... monoclinic
Space group ... C2/m, No. 12

Cell and atoms, written as POSCAR:
```
NdY2Tm6Sc3
1.0
3.007 -5.205 0.000
3.007 5.205 0.000
-2.000 0.000 11.259
Nd Y Tm Sc
1 2 6 3
Cartesian
0.000 0.000 0.000
3.007 1.734 0.000
3.007 -1.734 0.000
1.007 1.734 2.938
0.000 0.000 8.321
1.007 -1.734 2.938
3.008 1.734 8.321
4.015 0.000 2.938
3.008 -1.734 8.321
2.007 3.468 5.630
2.007 0.000 5.630
2.007 -3.468 5.630
```

***

6.
SmY2Br: optimized geometry, PBE.

Output
ρ ... 5.68 Mg/m³
Final energy ... -21.5 eV per formula unit
Crystal system ... trigonal
Space group ... R-3m, No. 166
Raw formation energy ... -0.537 eV per atom

Cell and atoms, written as POSCAR:
```
SmY2Br
1.0
1.835 1.059 10.239
-1.835 1.059 10.239
0.000 -2.119 10.239
Sm Y Br
1 2 1
Cartesian
0.000 0.000 0.000
0.000 0.000 7.428
0.000 0.000 23.289
0.000 0.000 15.359
```

***

7.
ErScInRu: optimized geometry, PBE.

Output
ρ ... 8.40 Mg/m³
Formation enthalpy at 0 K ... -0.5350 eV/atom
Energy above the most stable polymorph in this dataset ... 0 meV per atom
Final energy ... -25.0 eV per formula unit
Crystal system ... tetragonal
Space group ... P4mm, No. 99

Cell and atoms, written as POSCAR:
```
ErScInRu
1.0
3.357 0.000 0.000
0.000 3.357 0.000
0.000 0.000 7.510
Er Sc In Ru
1 1 1 1
Cartesian
0.000 0.000 0.000
0.000 0.000 4.341
1.678 1.678 2.314
1.678 1.678 5.788
```

***

8.
ZnMoPt2: optimized geometry, PBE.

Output
ρ ... 15.09 Mg/m³
Formation enthalpy at 0 K ... -0.3296 eV/atom
Final energy ... -25.5 eV per formula unit
Crystal system ... orthorhombic
Space group ... Pmmm, No. 47

Cell and atoms, written as POSCAR:
```
ZnMoPt2
1.0
2.781 0.000 0.000
0.000 3.972 0.000
0.000 0.000 5.495
Zn Mo Pt
1 1 2
Cartesian
0.000 0.000 0.000
0.000 0.000 2.747
1.390 1.986 1.389
1.390 1.986 4.106
```

***

9.
AcMnCu4: optimized geometry, PBE.

Output
ρ ... 8.75 Mg/m³
Formation enthalpy at 0 K ... 0.0883 eV/atom
Final energy ... -29.1 eV per formula unit
Crystal system ... cubic
Space group ... F-43m, No. 216

Cell and atoms, written as POSCAR:
```
AcMnCu4
1.0
0.000 3.705 3.705
3.705 0.000 3.705
3.705 3.705 0.000
Ac Mn Cu
1 1 4
Cartesian
0.000 0.000 0.000
5.557 5.557 5.557
2.801 2.801 2.801
4.609 4.609 2.801
4.609 2.801 4.609
2.801 4.609 4.609
```

***

10.
Lu2MgFe: optimized geometry, PBE.

Output
ρ ... 8.69 Mg/m³
Formation enthalpy at 0 K ... 0.1072 eV/atom
Energy above the most stable polymorph in this dataset ... 181 meV per atom
Final energy ... -18.7 eV per formula unit
Crystal system ... cubic
Space group ... Fm-3m, No. 225

Cell and atoms, written as POSCAR:
```
Lu2MgFe
1.0
0.000 3.451 3.451
3.451 0.000 3.451
3.451 3.451 0.000
Lu Mg Fe
2 1 1
Cartesian
1.725 1.725 1.725
5.176 5.176 5.176
0.000 0.000 0.000
3.451 3.451 3.451
```

***

11.
TbNdHg: optimized geometry, PBE.

Output
ρ ... 9.31 Mg/m³
Formation enthalpy at 0 K ... -0.1838 eV/atom
Energy above the most stable polymorph in this dataset ... 155 meV per atom
Final energy ... -10.3 eV per formula unit
Crystal system ... trigonal
Space group ... P3m1, No. 156

Cell and atoms, written as POSCAR:
```
TbNdHg
1.0
5.185 0.000 0.000
-2.593 4.491 0.000
0.000 0.000 3.859
Tb Nd Hg
1 1 1
Cartesian
0.000 0.000 0.000
2.593 1.497 2.089
0.000 2.994 0.647
```

***

12.
Fe3ReAg: optimized geometry, PBE.

Output
ρ ... 8.24 Mg/m³
Formation enthalpy at 0 K ... 2.1938 eV/atom
Energy above the most stable polymorph in this dataset ... 761 meV per atom
Final energy ... -29.7 eV per formula unit
Crystal system ... cubic
Space group ... Pm-3m, No. 221

Cell and atoms, written as POSCAR:
```
Fe3ReAg
1.0
4.530 0.000 0.000
0.000 4.530 0.000
0.000 0.000 4.530
Fe Re Ag
3 1 1
Cartesian
0.000 0.000 2.265
0.000 2.265 0.000
2.265 0.000 0.000
2.265 2.265 2.265
0.000 0.000 0.000
```

***

13.
MgBe2In2Pt5: optimized geometry, PBE.

Output
ρ ... 13.51 Mg/m³
Formation enthalpy at 0 K ... -0.5891 eV/atom
Final energy ... -50.6 eV per formula unit
Crystal system ... tetragonal
Space group ... P4/mbm, No. 127

Cell and atoms, written as POSCAR:
```
MgBe2In2Pt5
1.0
9.267 0.000 0.000
0.000 9.267 0.000
0.000 0.000 3.569
Mg Be In Pt
2 4 4 10
Cartesian
0.000 0.000 0.000
4.634 4.634 0.000
1.138 3.496 0.000
3.496 8.129 0.000
5.772 1.138 0.000
8.129 5.772 0.000
1.614 6.247 0.000
3.020 1.614 0.000
6.247 7.653 0.000
7.653 3.020 0.000
0.000 4.634 1.785
0.711 1.928 1.785
1.928 8.556 1.785
2.706 3.923 1.785
3.923 6.561 1.785
4.634 0.000 1.785
5.344 2.706 1.785
6.561 5.344 1.785
7.340 0.711 1.785
8.556 7.340 1.785
```

***

14.
ScSbP: optimized geometry, PBE.

Output
ρ ... 4.47 Mg/m³
Energy above the most stable polymorph in this dataset ... 493 meV per atom
Final energy ... -16.5 eV per formula unit
Crystal system ... cubic
Space group ... F-43m, No. 216
Raw formation energy ... -0.203 eV per atom

Cell and atoms, written as POSCAR:
```
ScSbP
1.0
0.000 3.324 3.324
3.324 0.000 3.324
3.324 3.324 0.000
Sc Sb P
1 1 1
Cartesian
0.000 0.000 0.000
4.985 4.985 4.985
1.662 1.662 1.662
```

***

15.
HgPbAu4: optimized geometry, PBE.

Output
ρ ... 15.41 Mg/m³
Formation enthalpy at 0 K ... 0.0253 eV/atom
Final energy ... -17.0 eV per formula unit
Crystal system ... cubic
Space group ... F-43m, No. 216

Cell and atoms, written as POSCAR:
```
HgPbAu4
1.0
0.000 4.008 4.008
4.008 0.000 4.008
4.008 4.008 0.000
Hg Pb Au
1 1 4
Cartesian
0.000 0.000 0.000
6.013 6.013 6.013
3.003 3.003 3.003
5.013 5.013 3.003
5.013 3.003 5.013
3.003 5.013 5.013
```

***

16.
K2MnH: optimized geometry, PBE.

Output
ρ ... 1.65 Mg/m³
Energy above the most stable polymorph in this dataset ... 181 meV per atom
Final energy ... -11.4 eV per formula unit
Crystal system ... cubic
Space group ... Fm-3m, No. 225

Cell and atoms, written as POSCAR:
```
K2MnH
1.0
0.000 4.069 4.069
4.069 0.000 4.069
4.069 4.069 0.000
K Mn H
2 1 1
Cartesian
2.034 2.034 2.034
6.103 6.103 6.103
0.000 0.000 0.000
4.069 4.069 4.069
```

***

17.
Pm3Mg2Pd3: optimized geometry, PBE.

Output
ρ ... 7.16 Mg/m³
Formation enthalpy at 0 K ... -0.5681 eV/atom
Energy above the most stable polymorph in this dataset ... 96 meV per atom
Final energy ... -37.6 eV per formula unit
Crystal system ... orthorhombic
Space group ... Immm, No. 71

Cell and atoms, written as POSCAR:
```
Pm3Mg2Pd3
1.0
-1.768 2.544 10.358
1.768 -2.544 10.358
1.768 2.544 -10.358
Pm Mg Pd
3 2 3
Cartesian
0.000 0.000 0.000
1.768 0.000 7.858
0.000 2.544 2.500
0.000 0.000 4.796
0.000 0.000 15.920
1.768 0.000 2.634
0.000 0.000 10.358
0.000 2.544 7.724
```

***

18.
Ca2CeAg9: optimized geometry, PBE.

Output
ρ ... 7.49 Mg/m³
Formation enthalpy at 0 K ... -0.1625 eV/atom
Final energy ... -37.5 eV per formula unit
Crystal system ... trigonal
Space group ... R-3m, No. 166

Cell and atoms, written as POSCAR:
```
Ca2CeAg9
1.0
2.856 1.649 9.347
-2.856 1.649 9.347
0.000 -3.298 9.347
Ca Ce Ag
2 1 9
Cartesian
0.000 0.000 3.994
0.000 0.000 24.048
0.000 0.000 0.000
-1.436 -0.829 11.700
0.000 0.000 9.335
0.000 -1.658 16.341
-1.436 0.829 16.341
0.000 0.000 14.021
1.436 -0.829 11.700
0.000 1.658 11.700
0.000 0.000 18.707
1.436 0.829 16.341
```

***

19.
Ca4As2S: optimized geometry, PBE.

Output
ρ ... 3.25 Mg/m³
Final energy ... -31.5 eV per formula unit
Crystal system ... tetragonal
Space group ... I-42d, No. 122
Raw formation energy ... -1.431 eV per atom

Cell and atoms, written as POSCAR:
```
Ca4As2S
1.0
-4.422 4.422 4.469
4.422 -4.422 4.469
4.422 4.422 -4.469
Ca As S
8 4 2
Cartesian
2.778 3.814 -2.777
5.030 1.644 -0.542
1.644 0.608 1.692
1.644 3.814 0.542
5.030 2.778 2.777
2.778 0.608 5.011
-0.608 2.778 3.927
-0.608 1.644 7.246
2.211 1.167 -1.117
3.255 -2.211 5.586
2.211 3.255 3.352
1.167 6.633 1.117
4.422 0.000 2.234
0.000 0.000 4.469
```

***

20.
AgSe2I: optimized geometry, PBE.

Output
ρ ... 5.47 Mg/m³
Energy above the most stable polymorph in this dataset ... 140 meV per atom
Final energy ... -11.0 eV per formula unit
Crystal system ... trigonal
Space group ... R-3m, No. 166
Raw formation energy ... 0.082 eV per atom

Cell and atoms, written as POSCAR:
```
AgSe2I
1.0
2.065 1.192 8.067
-2.065 1.192 8.067
0.000 -2.385 8.067
Ag Se I
1 2 1
Cartesian
0.000 0.000 0.000
0.000 0.000 9.353
0.000 0.000 14.849
0.000 0.000 12.101
```

***

21.
PaTeI3: optimized geometry, PBE.

Output
ρ ... 4.91 Mg/m³
Final energy ... -21.5 eV per formula unit
Crystal system ... monoclinic
Space group ... C2/c, No. 15
Raw formation energy ... -0.833 eV per atom

Cell and atoms, written as POSCAR:
```
PaTeI3
1.0
3.991 -8.432 0.000
3.991 8.432 0.000
-2.242 0.000 14.846
Pa Te I
4 4 12
Cartesian
0.290 1.019 2.110
-0.831 -1.019 9.533
6.571 1.019 5.314
5.450 -1.019 12.737
1.137 5.240 10.422
3.482 5.240 11.847
2.258 -5.240 2.999
4.603 -5.240 4.424
-0.028 1.633 8.040
0.097 0.631 11.987
2.793 2.239 1.147
1.093 -1.633 0.617
1.218 -0.631 4.564
4.069 2.239 6.276
1.671 -2.239 8.570
4.522 0.631 10.282
4.647 1.633 14.229
2.947 -2.239 13.700
5.643 -0.631 2.859
5.768 -1.633 6.806
```

***

22.
KHfN3: optimized geometry, PBE.

Output
ρ ... 5.46 Mg/m³
Final energy ... -34.8 eV per formula unit
Crystal system ... cubic
Space group ... Pm-3m, No. 221
Raw formation energy ... 0.250 eV per atom

Cell and atoms, written as POSCAR:
```
KHfN3
1.0
4.290 0.000 0.000
0.000 4.290 0.000
0.000 0.000 4.290
K Hf N
1 1 3
Cartesian
0.000 0.000 0.000
2.145 2.145 2.145
0.000 2.145 2.145
2.145 0.000 2.145
2.145 2.145 0.000
```

***

23.
KCoSb2Rh: optimized geometry, PBE.

Output
ρ ... 6.14 Mg/m³
Final energy ... -22.0 eV per formula unit
Crystal system ... tetragonal
Space group ... P4/mmm, No. 123
Raw formation energy ... 0.361 eV per atom

Cell and atoms, written as POSCAR:
```
KCoSb2Rh
1.0
4.932 0.000 0.000
0.000 4.932 0.000
0.000 0.000 4.946
K Co Sb Rh
1 1 2 1
Cartesian
0.000 0.000 0.000
2.466 2.466 2.473
0.000 2.466 2.473
2.466 0.000 2.473
2.466 2.466 0.000
```

***

24.
ZnIrOs2: optimized geometry, PBE.

Output
ρ ... 18.45 Mg/m³
Formation enthalpy at 0 K ... 0.2372 eV/atom
Final energy ... -31.6 eV per formula unit
Crystal system ... tetragonal
Space group ... P4/mmm, No. 123

Cell and atoms, written as POSCAR:
```
ZnIrOs2
1.0
2.734 0.000 0.000
0.000 2.734 0.000
0.000 0.000 7.681
Zn Ir Os
1 1 2
Cartesian
0.000 0.000 0.000
0.000 0.000 3.840
1.367 1.367 1.944
1.367 1.367 5.737
```

***

25.
CsPI2: optimized geometry, PBE.

Output
ρ ... 4.26 Mg/m³
Final energy ... -8.9 eV per formula unit
Crystal system ... cubic
Space group ... Fm-3m, No. 225
Raw formation energy ... 0.122 eV per atom

Cell and atoms, written as POSCAR:
```
CsPI2
1.0
0.000 4.334 4.334
4.334 0.000 4.334
4.334 4.334 0.000
Cs P I
1 1 2
Cartesian
0.000 0.000 0.000
4.334 4.334 4.334
2.167 2.167 2.167
6.500 6.500 6.500
```

***

26.
ZnTc2Cl: optimized geometry, PBE.

Output
ρ ... 7.27 Mg/m³
Energy above the most stable polymorph in this dataset ... 85 meV per atom
Final energy ... -23.7 eV per formula unit
Crystal system ... tetragonal
Space group ... P4mm, No. 99
Raw formation energy ... 0.041 eV per atom

Cell and atoms, written as POSCAR:
```
ZnTc2Cl
1.0
2.956 0.000 0.000
0.000 2.956 0.000
0.000 0.000 7.759
Zn Tc Cl
1 2 1
Cartesian
0.000 0.000 0.000
0.000 0.000 4.539
1.478 1.478 6.047
1.478 1.478 2.735
```